1.
## Sm2MgSe4 (GGA-PBEsol)

Data for an optimized crystal structure of Sm2MgSe4.

a = 6.860 Å, b = 8.318 Å, c = 14.120 Å
α = 90.00°, β = 90.00°, γ = 90.00°
Positions (direct):
Sm  0.500  0.000  0.000
Sm  0.000  0.000  0.500
Sm  0.000  0.500  0.500
Sm  0.500  0.500  0.000
Sm  0.011  0.250  0.232
Sm  0.989  0.750  0.768
Sm  0.511  0.750  0.268
Sm  0.489  0.250  0.732
Mg  0.089  0.750  0.096
Mg  0.911  0.250  0.904
Mg  0.589  0.250  0.404
Mg  0.411  0.750  0.596
Se  0.268  0.991  0.173
Se  0.732  0.009  0.827
Se  0.768  0.009  0.327
Se  0.232  0.991  0.673
Se  0.232  0.509  0.673
Se  0.768  0.491  0.327
Se  0.732  0.491  0.827
Se  0.268  0.509  0.173
Se  0.753  0.250  0.072
Se  0.247  0.750  0.928
Se  0.253  0.750  0.428
Se  0.747  0.250  0.572
Se  0.722  0.750  0.089
Se  0.278  0.250  0.911
Se  0.222  0.250  0.411
Se  0.778  0.750  0.589

E above lowest polymorph	32	meV/atom
raw formation energy	-1636	meV per atom
final energy	-155.03	eV per cell

---

2.
## Al13Ru4 (GGA-PBEsol)

Data for an optimized crystal structure of Al13Ru4.

a = 8.146 Å, b = 8.898 Å, c = 12.687 Å
α = 105.69°, β = 90.00°, γ = 117.24°
Positions (direct):
Al  0.500  0.000  0.500
Al  0.750  0.000  0.000
Al  0.250  0.000  0.000
Al  0.933  0.866  0.826
Al  0.067  0.134  0.174
Al  0.678  0.355  0.717
Al  0.322  0.645  0.283
Al  0.765  0.530  0.459
Al  0.235  0.470  0.541
Al  0.928  0.856  0.420
Al  0.072  0.144  0.580
Al  0.761  0.522  0.046
Al  0.239  0.478  0.954
Al  0.518  0.037  0.170
Al  0.482  0.963  0.830
Al  0.689  0.379  0.226
Al  0.311  0.621  0.774
Al  0.918  0.835  0.214
Al  0.082  0.165  0.786
Al  0.595  0.628  0.890
Al  0.966  0.372  0.110
Al  0.405  0.372  0.110
Al  0.034  0.628  0.890
Al  0.417  0.266  0.891
Al  0.152  0.734  0.109
Al  0.583  0.734  0.109
Al  0.848  0.266  0.891
Al  0.600  0.643  0.665
Al  0.957  0.357  0.335
Al  0.400  0.357  0.335
Al  0.043  0.643  0.665
Al  0.277  0.019  0.671
Al  0.258  0.981  0.329
Al  0.723  0.981  0.329
Al  0.742  0.019  0.671
Al  0.413  0.271  0.520
Al  0.142  0.729  0.480
Al  0.587  0.729  0.480
Al  0.858  0.271  0.520
Ru  0.915  0.830  0.617
Ru  0.085  0.170  0.383
Ru  0.599  0.198  0.376
Ru  0.401  0.802  0.624
Ru  0.908  0.817  0.013
Ru  0.092  0.183  0.987
Ru  0.599  0.199  0.016
Ru  0.401  0.801  0.984
Ru  0.384  0.363  0.722
Ru  0.021  0.637  0.278
Ru  0.616  0.637  0.278
Ru  0.979  0.363  0.722

E_form	-0.510	eV per atom
final energy	-307.67	eV per cell